1.
VASP calculation (PBE-GGA) on a relaxed KScFeTe3 crystal.

a b c (Å): 11.0638 4.2230 15.3975
angles (deg): 90.00 90.00 90.00
With the nearest neighbours (Å) after each atom.
Space group Pnma (No. 62)
Unique sites:
1 K 0.2395 0.2500 0.0014 [4 per cell]  7 Te 3.53-3.69, 2 Fe 3.91
2 Sc 0.0118 0.7500 0.7484 [4 per cell]  6 Te 2.94-2.96
3 Fe 0.2422 0.7500 0.2150 [4 per cell]  4 Te 2.59-2.64
4 Te 0.0451 0.7500 0.1241 [4 per cell]  1 Fe 2.59
5 Te 0.0638 0.2500 0.6205 [4 per cell]  1 Fe 2.59
6 Te 0.2393 0.2500 0.3182 [4 per cell]  2 Fe 2.64, 1 Sc 2.96

2.
VASP calculation (PBE-GGA) on a relaxed K3FeSe3 crystal.

a b c (Å): 8.0752 12.9279 10.4684
angles (deg): 90.00 127.66 90.00
With the nearest neighbours (Å) after each atom.
Space group P2_1/c (No. 14)
Unique sites:
1 K 0.1186 0.1283 0.4781 [4 per cell]  4 Se 3.19-3.33
2 K 0.1513 0.0781 0.8987 [4 per cell]  4 Se 3.24-3.37
3 K 0.3731 0.6929 0.5844 [4 per cell]  5 Se 3.25-3.53, 1 Fe 3.46
4 Fe 0.4405 0.0564 0.3509 [4 per cell]  4 Se 2.37-2.41
5 Se 0.1500 0.1725 0.1933 [4 per cell]  1 Fe 2.40
6 Se 0.3470 0.6143 0.8732 [4 per cell]  2 Fe 2.39-2.41
7 Se 0.3747 0.5477 0.2579 [4 per cell]  1 Fe 2.37

3.
VASP calculation (PBE-GGA) on a relaxed KSmFeSe3 crystal.

a b c (Å): 10.1024 4.2296 15.5045
angles (deg): 90.00 90.00 90.00
With the nearest neighbours (Å) after each atom.
Space group Pnma (No. 62)
Unique sites:
1 K 0.0441 0.2500 0.1778 [4 per cell]  7 Se 3.39-3.58
2 Sm 0.1721 0.7500 0.4403 [4 per cell]  6 Se 2.80-3.01
3 Fe 0.1501 0.2500 0.6298 [4 per cell]  4 Se 2.35-2.51
4 Se 0.0213 0.7500 0.6077 [4 per cell]  2 Fe 2.51
5 Se 0.1742 0.7500 0.0230 [4 per cell]  1 Fe 2.43
6 Se 0.2122 0.2500 0.7760 [4 per cell]  1 Fe 2.35

4.
VASP calculation (PBE-GGA) on a relaxed KSmFeSe3 crystal.

a b c (Å): 11.4639 4.3169 12.6042
angles (deg): 90.00 90.00 90.00
With the nearest neighbours (Å) after each atom.
Space group Pnma (No. 62)
Unique sites:
1 K 0.1728 0.2500 0.0028 [4 per cell]  7 Se 3.31-3.42, 2 Fe 3.57
2 Sm 0.0195 0.2500 0.6755 [4 per cell]  7 Se 2.96-3.14
3 Fe 0.2432 0.2500 0.2903 [4 per cell]  4 Se 2.40-2.47
4 Se 0.0528 0.7500 0.8334 [4 per cell]  1 Fe 2.40
5 Se 0.1069 0.2500 0.4394 [4 per cell]  1 Fe 2.44
6 Se 0.2147 0.7500 0.1982 [4 per cell]  2 Fe 2.47

5.
VASP calculation (PBE-GGA) on a relaxed KSmFeSe3 crystal.

a b c (Å): 8.6618 4.1290 10.3844
angles (deg): 90.00 108.50 90.00
With the nearest neighbours (Å) after each atom.
Space group P2_1/m (No. 11)
Unique sites:
1 K 0.2446 0.2500 0.2125 [2 per cell]  6 Se 3.28-3.51
2 Sm 0.1853 0.7500 0.6419 [2 per cell]  6 Se 2.87-3.03
3 Fe 0.4309 0.2500 0.9131 [2 per cell]  4 Se 2.42-2.54
4 Se 0.0487 0.7500 0.3509 [2 per cell]  3 Sm 2.87-2.91
5 Se 0.2778 0.7500 0.9489 [2 per cell]  3 Fe 2.47-2.54
6 Se 0.4344 0.2500 0.6807 [2 per cell]  1 Fe 2.42

6.
VASP calculation (PBE-GGA) on a relaxed KSmFeSe3 crystal.

a b c (Å): 11.0613 4.1847 14.7138
angles (deg): 90.00 90.00 90.00
With the nearest neighbours (Å) after each atom.
Space group Pnma (No. 62)
Unique sites:
1 K 0.2194 0.2500 0.0040 [4 per cell]  7 Se 3.41-3.51
2 Sm 0.0159 0.7500 0.2585 [4 per cell]  6 Se 2.92-2.94
3 Fe 0.2340 0.7500 0.7802 [4 per cell]  4 Se 2.42-2.53
4 Se 0.0508 0.7500 0.8711 [4 per cell]  1 Fe 2.43
5 Se 0.0951 0.2500 0.3831 [4 per cell]  1 Fe 2.42
6 Se 0.2375 0.2500 0.6839 [4 per cell]  2 Fe 2.53

7.
VASP calculation (PBE-GGA) on a relaxed KSmFeSe3 crystal.

a b c (Å): 4.1693 14.7821 11.0274
angles (deg): 90.00 90.00 90.00
With the nearest neighbours (Å) after each atom.
Space group Cmcm (No. 63)
Unique sites:
1 K 0.0000 0.2450 0.2500 [4 per cell]  6 Se 3.38-3.43
2 Sm 0.0000 0.5000 0.0000 [4 per cell]  6 Se 2.92
3 Fe 0.0000 0.0324 0.7500 [4 per cell]  4 Se 2.42-2.53
4 Se 0.0000 0.1280 0.5715 [8 per cell]  1 Fe 2.42
5 Se 0.0000 0.4352 0.7500 [4 per cell]  2 Fe 2.53

8.
VASP calculation (PBE-GGA) on a relaxed KTbFeSe3 crystal.

a b c (Å): 10.8754 4.1337 14.7883
angles (deg): 90.00 90.00 90.00
With the nearest neighbours (Å) after each atom.
Space group Pnma (No. 62)
Unique sites:
1 K 0.2241 0.2500 0.0031 [4 per cell]  7 Se 3.40-3.50
2 Tb 0.0167 0.7500 0.2559 [4 per cell]  6 Se 2.87-2.90
3 Fe 0.2338 0.7500 0.7801 [4 per cell]  4 Se 2.42-2.51
4 Se 0.0486 0.7500 0.8713 [4 per cell]  1 Fe 2.42
5 Se 0.0896 0.2500 0.3797 [4 per cell]  1 Fe 2.42
6 Se 0.2356 0.2500 0.6834 [4 per cell]  2 Fe 2.51

Raw total energy / eV for the cell shown: -119.4 -113.0 -125.7 -126.0 -63.5 -127.0 -127.0 -126.9
M_tot / μB per cell: 15.293 16.002 16.005 15.978 7.988 15.992 16.011 15.997
Density / g/cm³: 4.826 3.148 4.834 5.135 4.547 4.702 4.712 4.903